[1]
Below is crystalline BiOs2 at its relaxed geometry, with properties calculated at the PBE level.

Lattice parameters (Å, degrees): 6.234 6.234 6.234 90.00 90.00 90.00
Space group Fm-3m (No. 225)
Asymmetric unit:
1 Bi 0.000 0.000 0.000
2 Os 0.250 0.250 0.250

Output
Distance to the lowest polymorph of the same formula   2.20 eV per formula unit

[2]
Below is crystalline BiOs2Pb at its relaxed geometry, with properties calculated at the PBE level.

Lattice parameters (Å, degrees): 3.935 3.935 5.561 90.00 90.00 90.00
Space group P4/mmm (No. 123)
Asymmetric unit:
1 Bi 0.000 0.000 0.000
2 Os 0.000 0.000 0.500
3 Os 0.500 0.500 0.000
4 Pb 0.500 0.500 0.500

Output
Calculated total energy   -6.092 eV per atom

[3]
Below is crystalline Zr2Bi2OsPd at its relaxed geometry, with properties calculated at the PBE level.

Lattice parameters (Å, degrees): 6.502 6.502 12.958 90.00 90.00 90.00
Space group I-42d (No. 122)
Asymmetric unit:
1 Zr 0.242 0.750 0.125
2 Bi 0.249 0.250 0.125
3 Os 0.000 0.000 0.000
4 Pd 0.000 0.000 0.500

Output
Calculated total energy   -7.354 eV per atom

[4]
Below is crystalline PmBiOs at its relaxed geometry, with properties calculated at the PBE level.

Lattice parameters (Å, degrees): 6.780 6.780 6.780 90.00 90.00 90.00
Space group F-43m (No. 216)
Asymmetric unit:
1 Pm 0.000 0.000 0.000
2 Bi 0.000 0.000 0.500
3 Os 0.250 0.250 0.750

Output
Distance to the lowest polymorph of the same formula   0.00 eV per formula unit

[5]
Below is crystalline BiOs2Pt at its relaxed geometry, with properties calculated at the PBE level.

Lattice parameters (Å, degrees): 6.543 6.543 6.543 90.00 90.00 90.00
Space group F-43m (No. 216)
Asymmetric unit:
1 Bi 0.000 0.000 0.000
2 Os 0.000 0.000 0.500
3 Os 0.250 0.250 0.750
4 Pt 0.250 0.250 0.250

Output
Calculated total energy   -7.203 eV per atom

[6]
Below is crystalline RbBiOs at its relaxed geometry, with properties calculated at the PBE level.

Lattice parameters (Å, degrees): 6.950 6.950 6.950 90.00 90.00 90.00
Space group F-43m (No. 216)
Asymmetric unit:
1 Rb 0.000 0.000 0.000
2 Bi 0.000 0.000 0.500
3 Os 0.250 0.250 0.750

Output
Distance to the lowest polymorph of the same formula   0.00 eV per formula unit